Compound: CsNpSn2F8
Source: the Alexandria database
Functional: PBE
Structure: relaxed

a b c (Å): 8.573 8.573 8.573
angles (deg): 42.97 42.97 42.97
Fractional coordinates of all 12 atoms:
Cs: 0.000 0.000 0.000
Np: 0.500 0.500 0.500
Sn: 0.220 0.220 0.220
Sn: 0.780 0.780 0.780
F: 0.167 0.411 0.743
F: 0.257 0.589 0.833
F: 0.306 0.306 0.306
F: 0.411 0.743 0.167
F: 0.589 0.833 0.257
F: 0.694 0.694 0.694
F: 0.743 0.167 0.411
F: 0.833 0.257 0.589

Results
- Crystal system: trigonal


Compound: CsNpSnF6
Source: the Alexandria database
Functional: PBE
Structure: relaxed

a b c (Å): 5.860 6.416 6.482
angles (deg): 117.89 90.37 90.29
Fractional coordinates of all 9 atoms:
Cs: 0.000 0.000 0.000
Np: 0.458 0.669 0.332
Sn: 0.506 0.329 0.669
F: 0.263 0.016 0.588
F: 0.270 0.558 0.973
F: 0.277 0.393 0.428
F: 0.650 0.689 0.646
F: 0.654 0.966 0.317
F: 0.698 0.404 0.090

Results
- Crystal system: triclinic


Compound: Cs2Sr3NpF12
Source: the Alexandria database
Functional: PBE
Structure: relaxed

a b c (Å): 8.864 8.864 8.864
angles (deg): 57.82 57.82 57.82
Fractional coordinates of all 18 atoms:
Cs: 0.087 0.087 0.087
Cs: 0.913 0.913 0.913
Sr: 0.000 0.500 0.500
Sr: 0.500 0.000 0.500
Sr: 0.500 0.500 0.000
Np: 0.500 0.500 0.500
F: 0.164 0.164 0.589
F: 0.164 0.589 0.164
F: 0.207 0.560 0.560
F: 0.411 0.836 0.836
F: 0.440 0.440 0.793
F: 0.440 0.793 0.440
F: 0.560 0.207 0.560
F: 0.560 0.560 0.207
F: 0.589 0.164 0.164
F: 0.793 0.440 0.440
F: 0.836 0.411 0.836
F: 0.836 0.836 0.411

Results
- Crystal system: trigonal


Compound: Cs3NpTl2F9
Source: the Alexandria database
Functional: PBE
Structure: relaxed

a b c (Å): 7.159 7.159 8.802
angles (deg): 90.00 90.00 120.00
Fractional coordinates of all 15 atoms:
Cs: 0.000 0.000 0.000
Cs: 0.333 0.667 0.742
Cs: 0.667 0.333 0.258
Np: 0.000 0.000 0.500
Tl: 0.333 0.667 0.175
Tl: 0.667 0.333 0.825
F: 0.000 0.500 0.000
F: 0.139 0.278 0.351
F: 0.139 0.861 0.351
F: 0.278 0.139 0.649
F: 0.500 0.000 0.000
F: 0.500 0.500 0.000
F: 0.722 0.861 0.351
F: 0.861 0.139 0.649
F: 0.861 0.722 0.649

Results
- Crystal system: trigonal


Compound: Cs4NpTl3F12
Source: the Alexandria database
Functional: PBE
Structure: relaxed

a b c (Å): 8.646 8.646 8.646
angles (deg): 109.47 109.47 109.47
Fractional coordinates of all 20 atoms:
Cs: 0.000 0.000 0.500
Cs: 0.000 0.500 0.000
Cs: 0.500 0.000 0.000
Cs: 0.500 0.500 0.500
Np: 0.000 0.000 0.000
Tl: 0.000 0.500 0.500
Tl: 0.500 0.000 0.500
Tl: 0.500 0.500 0.000
F: 0.000 0.216 0.216
F: 0.000 0.784 0.784
F: 0.216 0.000 0.216
F: 0.216 0.216 0.000
F: 0.250 0.500 0.750
F: 0.250 0.750 0.500
F: 0.500 0.250 0.750
F: 0.500 0.750 0.250
F: 0.750 0.250 0.500
F: 0.750 0.500 0.250
F: 0.784 0.000 0.784
F: 0.784 0.784 0.000

Results
- Crystal system: cubic


Compound: CsNpTl2F8
Source: the Alexandria database
Functional: PBE
Structure: relaxed

a b c (Å): 4.916 6.721 8.877
angles (deg): 90.02 90.05 95.46
Fractional coordinates of all 12 atoms:
Cs: 0.000 0.000 0.000
Np: 0.000 0.000 0.500
Tl: 0.500 0.500 0.221
Tl: 0.500 0.500 0.779
F: 0.107 0.811 0.326
F: 0.108 0.811 0.674
F: 0.370 0.174 0.500
F: 0.487 0.723 0.000
F: 0.513 0.277 0.000
F: 0.630 0.826 0.500
F: 0.892 0.189 0.326
F: 0.893 0.189 0.674

Results
- Crystal system: triclinic


Compound: Cs2NpTlF6
Source: the Alexandria database
Functional: PBE
Structure: relaxed

a b c (Å): 6.971 7.070 12.080
angles (deg): 90.00 125.23 90.00
Fractional coordinates of all 20 atoms:
Cs: 0.240 0.037 0.249
Cs: 0.240 0.463 0.749
Cs: 0.760 0.537 0.251
Cs: 0.760 0.963 0.751
Np: 0.500 0.000 0.000
Np: 0.500 0.500 0.500
Tl: 0.000 0.000 0.500
Tl: 0.000 0.500 0.000
F: 0.197 0.188 0.961
F: 0.197 0.312 0.461
F: 0.268 0.737 0.951
F: 0.268 0.763 0.451
F: 0.359 0.032 0.775
F: 0.359 0.468 0.275
F: 0.641 0.532 0.725
F: 0.641 0.968 0.225
F: 0.732 0.237 0.549
F: 0.732 0.263 0.049
F: 0.803 0.688 0.539
F: 0.803 0.812 0.039

Results
- Crystal system: monoclinic


Compound: Cs2NpTlF8
Source: the Alexandria database
Functional: PBE
Structure: relaxed

a b c (Å): 7.686 7.686 7.686
angles (deg): 129.94 129.94 73.50
Fractional coordinates of all 12 atoms:
Cs: 0.000 0.000 0.000
Cs: 0.750 0.250 0.500
Np: 0.250 0.750 0.500
Tl: 0.500 0.500 0.000
F: 0.160 0.053 0.505
F: 0.160 0.655 0.107
F: 0.345 0.452 0.505
F: 0.345 0.840 0.893
F: 0.548 0.053 0.893
F: 0.548 0.655 0.495
F: 0.947 0.452 0.107
F: 0.947 0.840 0.495

Results
- Crystal system: tetragonal


The following formation energy without anion corrections values (in eV/atom) correspond, in order, to the records above: -2.644; -2.871; -3.493; -2.752; -2.573; -2.742; -2.848; -2.924.
The following density of states at the Fermi level values (in states/eV per cell) correspond, in order, to the records above: 5.081; 3.383; 12.286; 12.238; 16.419; 9.813; 7.244; 10.928.